Computed, not measured: a geometry-optimized Na3CuPd structure at the PBE level of DFT.

Lattice parameters (Å, degrees): 5.4110 5.4110 5.4110 90.00 90.00 90.00
With the nearest neighbours (Å) after each atom.
Positions (direct):
Na: 0.0000 0.0000 0.5000  2 Pd 2.71
Na: 0.0000 0.5000 0.0000  2 Pd 2.71
Na: 0.5000 0.0000 0.0000  2 Pd 2.71
Pd: 0.0000 0.0000 0.0000  6 Na 2.71
Cu: 0.5000 0.5000 0.5000  12 Na 3.83

Space group ... No. 221
ΔE to the lowest computed polymorph ... 0.000 eV per atom
V ... 158 Å³/cell
DFT formation energy ... 39.07 kJ per mole of atoms

***

Computed, not measured: a geometry-optimized BaTb2AgTe4 structure at the PBE level of DFT.

Lattice parameters (Å, degrees): 4.5360 7.8068 15.5672 90.00 90.00 106.89
With the nearest neighbours (Å) after each atom.
Positions (direct):
Ag: 0.8517 0.7035 0.7500  4 Te 2.77-2.83
Ag: 0.1483 0.2965 0.2500  4 Te 2.77-2.83
Te: 0.2675 0.5351 0.1087  1 Ag 2.83, 1 Tb 3.13
Te: 0.4576 0.9152 0.7500  2 Ag 2.77
Te: 0.7325 0.4649 0.8913  1 Ag 2.83, 1 Tb 3.13
Te: 0.7325 0.4649 0.6087  1 Ag 2.83, 1 Tb 3.13
Te: 0.0000 0.0000 0.5000  4 Tb 3.09
Te: 0.0000 0.0000 0.0000  4 Tb 3.09
Te: 0.5424 0.0848 0.2500  2 Ag 2.77
Te: 0.2675 0.5351 0.3913  1 Ag 2.83, 1 Tb 3.13
Ba: 0.1330 0.2659 0.7500  6 Te 3.47-3.49
Ba: 0.8670 0.7341 0.2500  6 Te 3.47-3.49
Tb: 0.6235 0.2469 0.0633  6 Te 3.09-3.21
Tb: 0.3765 0.7531 0.9367  6 Te 3.09-3.21
Tb: 0.3765 0.7531 0.5633  6 Te 3.09-3.21
Tb: 0.6235 0.2469 0.4367  6 Te 3.09-3.21

Space group ... No. 63
V ... 527 Å³/cell
Raw formation energy ... -1230 meV/atom

***

Computed, not measured: a geometry-optimized ReAg2Ru structure at the PBE level of DFT.

Lattice parameters (Å, degrees): 9.6077 9.6077 9.6077 16.77 16.77 16.77
With the nearest neighbours (Å) after each atom.
Positions (direct):
Ru: 0.7559 0.7559 0.7559  3 Re 2.59, 6 Ru 2.80
Ag: 0.0022 0.0022 0.0022  9 Ag 2.80-2.96, 3 Ru 2.96
Ag: 0.2481 0.2481 0.2481  9 Ag 2.80-2.96, 3 Re 2.97
Re: 0.4937 0.4937 0.4937  3 Ru 2.59, 6 Re 2.80

Space group ... No. 160
ΔE to the lowest computed polymorph ... 0.000 eV per atom
V ... 64 Å³/cell
DFT formation energy ... 23.99 kJ per mole of atoms

***

Computed, not measured: a geometry-optimized K2LaTiOs structure at the PBE level of DFT.

Lattice parameters (Å, degrees): 5.8490 4.8866 5.8490 90.00 90.00 90.00
With the nearest neighbours (Å) after each atom.
Positions (direct):
Ti: 0.0000 0.5000 0.0000  2 La 2.44
K: 0.0000 0.0000 0.5000  2 La 2.92
K: 0.5000 0.0000 0.0000  2 La 2.92
La: 0.0000 0.0000 0.0000  2 Ti 2.44
Os: 0.5000 0.5000 0.5000  8 K 3.81, 4 Ti 4.14

Space group ... No. 123
V ... 167 Å³/cell
DFT formation energy ... 226.45 kJ per mole of atoms

***

no.,energy (eV per formula unit)
1,-11.2
2,-36.4
3,-26.4
4,-14.5